(1)
First-principles (meta-GGA SCAN) data for HgPbO2 at its PBEsol-relaxed geometry, as listed in the Alexandria database.

Results
The crystal system is trigonal. The calculation puts the uncorrected energy at -39.26 eV per atom. As for the formation energy (no corrections): -0.63 eV per formula unit.

a = 3.4544 Å, b = 3.4544 Å, c = 7.1077 Å
α = 75.94°, β = 75.94°, γ = 60.00°
Last column: nearest neighbours and their distance in Å.
Sites, in units of the cell vectors:
O1 0.1078 0.1078 0.6765  1 Pb 2.21, 3 Hg 2.33
O2 0.8922 0.8922 0.3235  1 Pb 2.21, 3 Hg 2.33
Hg1 0.5000 0.5000 0.5000  6 O 2.33
Pb1 0.0000 0.0000 0.0000  2 O 2.21


(2)
First-principles (meta-GGA SCAN) data for VH2 at its PBEsol-relaxed geometry, as listed in the Alexandria database.

Results
The crystal system is cubic. The calculation puts the uncorrected energy at -8.37 eV per atom.

a = 2.9354 Å, b = 2.9354 Å, c = 2.9354 Å
α = 60.00°, β = 60.00°, γ = 60.00°
Last column: nearest neighbours and their distance in Å.
Sites, in units of the cell vectors:
H1 0.7500 0.7500 0.7500  4 V 1.80
H2 0.2500 0.2500 0.2500  4 V 1.80
V1 0.0000 0.0000 0.0000  8 H 1.80


(3)
First-principles (meta-GGA SCAN) data for Cs2NaFeF6 at its PBEsol-relaxed geometry, as listed in the Alexandria database.

Results
The crystal system is trigonal. The calculation puts the uncorrected energy at -14.76 eV per atom. As for the formation energy (no corrections): -28.43 eV per formula unit.

a = 6.1902 Å, b = 6.1902 Å, c = 10.7196 Å
α = 73.22°, β = 73.22°, γ = 60.00°
Last column: nearest neighbours and their distance in Å.
Sites, in units of the cell vectors:
F1 0.1874 0.1874 0.8891  1 Fe 1.96
F2 0.6039 0.6039 0.6088  1 Fe 1.86
F3 0.6039 0.1835 0.6088  1 Fe 1.86
F4 0.2639 0.8126 0.1109  1 Fe 1.96
F5 0.7361 0.1874 0.8891  1 Fe 1.96
F6 0.1835 0.6039 0.6088  1 Fe 1.86
F7 0.8126 0.8126 0.1109  1 Fe 1.96
F8 0.8126 0.2639 0.1109  1 Fe 1.96
F9 0.1874 0.7361 0.8891  1 Fe 1.96
F10 0.8165 0.3961 0.3912  1 Fe 1.86
F11 0.3961 0.3961 0.3912  1 Fe 1.86
F12 0.3961 0.8165 0.3912  1 Fe 1.86
Fe1 0.5000 0.5000 0.5000  6 F 1.86
Fe2 0.0000 0.0000 0.0000  6 F 1.96
Cs1 0.7159 0.7159 0.8522  12 F 3.12-3.27
Cs2 0.8724 0.8724 0.3827  12 F 3.08-3.19
Cs3 0.2841 0.2841 0.1478  12 F 3.12-3.27
Cs4 0.1276 0.1276 0.6173  12 F 3.08-3.19
Na1 0.4052 0.4052 0.7843  6 F 2.23-2.32
Na2 0.5948 0.5948 0.2157  6 F 2.23-2.32


(4)
First-principles (meta-GGA SCAN) data for BeFeCl4 at its PBEsol-relaxed geometry, as listed in the Alexandria database.

Results
The crystal system is cubic. The calculation puts the uncorrected energy at -7.91 eV per atom. As for the formation energy (no corrections): 6.92 eV per formula unit.

a = 5.6125 Å, b = 5.6125 Å, c = 5.6125 Å
α = 60.00°, β = 60.00°, γ = 60.00°
Last column: nearest neighbours and their distance in Å.
Sites, in units of the cell vectors:
Be1 0.0000 0.0000 0.0000  12 Cl 3.29, 4 Fe 3.44
Cl1 0.3751 0.8746 0.3751  6 Cl 2.80-2.81
Cl2 0.8746 0.3751 0.3751  6 Cl 2.80-2.81
Cl3 0.3751 0.3751 0.8746  6 Cl 2.80-2.81
Cl4 0.3751 0.3751 0.3751  6 Cl 2.80-2.81
Fe1 0.7500 0.7500 0.7500  12 Cl 3.29, 4 Be 3.44


(5)
First-principles (meta-GGA SCAN) data for Cs2KYBr6 at its PBEsol-relaxed geometry, as listed in the Alexandria database.

Results
The crystal system is cubic. The calculation puts the uncorrected energy at -24.94 eV per atom. As for the formation energy (no corrections): -20.82 eV per formula unit.

a = 8.2295 Å, b = 8.2295 Å, c = 8.2295 Å
α = 60.00°, β = 60.00°, γ = 60.00°
Last column: nearest neighbours and their distance in Å.
Sites, in units of the cell vectors:
Y1 0.0000 0.0000 0.0000  6 Br 2.75
K1 0.5000 0.5000 0.5000  6 Br 3.07
Br1 0.2363 0.7637 0.7637  1 Y 2.75, 1 K 3.07
Br2 0.2363 0.2363 0.7637  1 Y 2.75, 1 K 3.07
Br3 0.7637 0.2363 0.2363  1 Y 2.75, 1 K 3.07
Br4 0.2363 0.7637 0.2363  1 Y 2.75, 1 K 3.07
Br5 0.7637 0.2363 0.7637  1 Y 2.75, 1 K 3.07
Br6 0.7637 0.7637 0.2363  1 Y 2.75, 1 K 3.07
Cs1 0.2500 0.2500 0.2500  12 Br 4.12
Cs2 0.7500 0.7500 0.7500  12 Br 4.12


(6)
First-principles (meta-GGA SCAN) data for ZnReRh at its PBEsol-relaxed geometry, as listed in the Alexandria database.

Results
The value obtained for the energy of formation is 0.074 eV/atom. The crystal system is hexagonal. The calculation puts the uncorrected energy at -39.39 eV per atom.

a = 2.6426 Å, b = 4.2268 Å, c = 4.2268 Å
α = 120.00°, β = 90.00°, γ = 90.00°
Last column: nearest neighbours and their distance in Å.
Sites, in units of the cell vectors:
Rh1 0.4997 0.6667 0.3333  3 Zn 2.44, 2 Rh 2.64
Zn1 0.5004 0.3333 0.6667  3 Rh 2.44, 2 Zn 2.64
Re1 0.9999 0.0000 0.0000  2 Re 2.64, 6 Zn 2.77-2.78, 6 Rh 2.77-2.78